First-principles (PBE) data for a relaxed PuSbO6 crystal, as listed in Alexandria.

Structure (extended XYZ):
```
8
Lattice="4.820 0.004 2.512 1.744 4.485 2.526 0.157 0.092 5.582" Properties=species:S:1:pos:R:3 pbc="T T T"
O 3.667 1.145 3.685
Sb 0.000 0.000 0.000
O 5.240 2.994 5.174
O 2.711 3.789 4.135
O 3.053 3.436 6.935
O 4.010 0.793 6.485
Pu 3.360 2.291 5.310
O 1.481 1.587 5.446
```

Energy relative to the elements, uncorrected (meV per atom): -1747
M_tot (μB per formula unit): 1.00
Mass density (g/cm³): 6.5
Crystal system: trigonal

---

First-principles (PBE) data for a relaxed PuSbO crystal, as listed in Alexandria.

Structure (extended XYZ):
```
12
Lattice="6.731 0.524 1.002 -1.959 7.134 -0.858 2.813 2.881 5.512" Properties=species:S:1:pos:R:3 pbc="T T T"
Pu 7.044 3.796 5.944
O 1.171 7.132 1.514
O 6.713 3.226 3.797
Pu 2.358 6.040 2.986
Sb 6.047 7.872 5.524
O 8.119 5.694 6.016
Pu 5.724 8.198 2.496
Pu 5.637 4.251 2.197
Sb 4.512 5.450 5.457
Sb 2.681 8.713 4.447
Sb 3.106 2.907 3.277
O 4.537 6.366 2.552
```

Relative energy among the computed polymorphs (kJ per mole of atoms): 12.92
Energy relative to the elements, uncorrected (meV per atom): -1550
M_tot (μB per formula unit): 4.64
Mass density (g/cm³): 9.8
Crystal system: orthorhombic

---

First-principles (PBE) data for a relaxed PuSbO crystal, as listed in Alexandria.

Structure (extended XYZ):
```
6
Lattice="3.904 0.000 0.000 -1.952 3.381 0.000 0.000 0.000 10.137" Properties=species:S:1:pos:R:3 pbc="T T T"
O 0.000 2.254 0.865
Sb 1.952 1.127 6.003
Pu 0.000 2.254 8.692
Pu 1.952 1.127 1.445
Sb 0.000 2.254 4.134
O 1.952 1.127 9.272
```

Relative energy among the computed polymorphs (kJ per mole of atoms): 0.00
Energy relative to the elements, uncorrected (meV per atom): -1684
M_tot (μB per formula unit): 5.44
Mass density (g/cm³): 9.5
Crystal system: trigonal

---

First-principles (PBE) data for a relaxed Pu2SbO crystal, as listed in Alexandria.

Structure (extended XYZ):
```
4
Lattice="-2.120 1.252 -2.089 0.361 -2.577 -1.911 -5.762 -3.560 3.712" Properties=species:S:1:pos:R:3 pbc="T T T"
Pu -4.619 -2.854 2.976
Sb -3.761 -2.443 -0.144
O -0.879 -0.663 -2.000
Pu -1.143 -0.706 0.737
```

Relative energy among the computed polymorphs (kJ per mole of atoms): 51.33
Energy relative to the elements, uncorrected (meV per atom): -1104
M_tot (μB per formula unit): 12.06
Mass density (g/cm³): 12.9
Crystal system: tetragonal